First-principles (GGA-PBE) data for a relaxed structure of LiPm2Sn, as listed in the Alexandria database.

Cell: 5.3530 5.3530 5.3530 Å, 60.00 60.00 60.00°
Positions (direct):
1 Pm 0.0000 0.0000 0.0000
2 Pm 0.5000 0.5000 0.5000
3 Sn 0.2500 0.2500 0.2500
4 Li 0.7500 0.7500 0.7500

Calculated values
raw total energy	-17.21	eV per cell
formation enthalpy at 0 K	-0.449	eV/atom
total moment	0.0	μB/f.u.